Model P:
Compound: BC2
Source: Alexandria
Functional: PBE
Structure: optimized geometry

**Density of states at the Fermi level**: 5.6 states/eV/cell
**Total magnetic moment**: 0.000 μB/atom

a b c (Å): 13.678 2.473 4.722
angles (deg): 90.00 106.71 90.00
Space group Cm (No. 8)
Symmetry-distinct sites (fractional):
B 0.000 0.000 0.000 [2 per cell]
B 0.060 0.500 0.272 [2 per cell]
B 0.172 0.000 0.848 [2 per cell]
B 0.341 0.500 0.181 [2 per cell]
C 0.006 0.500 0.542 [2 per cell]
C 0.047 0.000 0.719 [2 per cell]
C 0.184 0.500 0.374 [2 per cell]
C 0.218 0.500 0.095 [2 per cell]
C 0.220 0.000 0.567 [2 per cell]
C 0.342 0.000 0.690 [2 per cell]
C 0.378 0.500 0.880 [2 per cell]
C 0.390 0.000 0.427 [2 per cell]

Model Q:
Compound: BC2
Source: Alexandria
Functional: PBE
Structure: optimized geometry

**Density of states at the Fermi level**: 3.0 states/eV/cell
**Total magnetic moment**: 0.000 μB/atom

a b c (Å): 11.676 2.564 5.311
angles (deg): 90.00 103.61 90.00
Space group Cm (No. 8)
Symmetry-distinct sites (fractional):
B 0.000 0.000 0.000 [2 per cell]
B 0.089 0.000 0.394 [2 per cell]
B 0.241 0.500 0.172 [2 per cell]
B 0.400 0.000 0.012 [2 per cell]
C 0.090 0.000 0.827 [2 per cell]
C 0.161 0.500 0.388 [2 per cell]
C 0.166 0.500 0.868 [2 per cell]
C 0.247 0.500 0.671 [2 per cell]
C 0.325 0.000 0.707 [2 per cell]
C 0.333 0.000 0.235 [2 per cell]
C 0.409 0.000 0.513 [2 per cell]
C 0.488 0.500 0.554 [2 per cell]

Relative stability in eV/atom, measured from the most stable structure: model P 0.000; model Q 0.043